First-principles (PBE) data for TaV2Cr after structural relaxation, as listed in the Alexandria database. Values from VASP.

## Properties
As for the space-group type: I-42d. As for the relative energy among the computed polymorphs: 522 meV/atom. Its total magnetization is 0.000 μB per atom. The calculation puts the energy of formation at 2.13 eV/f.u. The density of states at the Fermi level is 3.90 states/eV/f.u. The electronic total energy comes out at -9.396 eV per atom.

Quantum ESPRESSO input file:
```
&SYSTEM
  ibrav = 0, nat = 8, ntyp = 3
/
ATOMIC_SPECIES
Ta 180.95 Ta.upf
V 50.94 V.upf
Cr 52.00 Cr.upf
CELL_PARAMETERS angstrom
-3.387 3.387 2.615
3.387 -3.387 2.615
3.387 3.387 -2.615
ATOMIC_POSITIONS crystal
Ta 0.000 0.000 0.000
Ta 0.750 0.250 0.500
V 0.159 0.125 0.534
V 0.375 0.841 0.966
V 0.591 0.625 0.466
V 0.875 0.409 0.034
Cr 0.250 0.750 0.500
Cr 0.500 0.500 0.000
```

=====

First-principles (PBE) data for Ce4PCl5 after structural relaxation, as listed in the Alexandria database. Values from VASP.

## Properties
As for the space-group type: C2/m. For the raw formation energy, the calculation gives -1.829 eV per atom. Its total magnetization is 0.467 μB per atom. The density of states at the Fermi level is 21.77 states/eV/f.u. The electronic total energy comes out at -5.667 eV per atom.

Quantum ESPRESSO input file:
```
&SYSTEM
  ibrav = 0, nat = 10, ntyp = 3
/
ATOMIC_SPECIES
Ce 140.12 Ce.upf
P 30.97 P.upf
Cl 35.45 Cl.upf
CELL_PARAMETERS angstrom
8.753 -1.985 0.000
8.753 1.985 0.000
-1.781 0.000 8.136
ATOMIC_POSITIONS crystal
Ce 0.001 0.001 0.233
Ce 0.337 0.337 0.926
Ce 0.663 0.663 0.074
Ce 0.999 0.999 0.767
P 0.500 0.500 0.000
Cl 0.166 0.166 0.819
Cl 0.168 0.168 0.323
Cl 0.500 0.500 0.500
Cl 0.832 0.832 0.677
Cl 0.834 0.834 0.181
```

=====

First-principles (PBE) data for TmAl2Fe after structural relaxation, as listed in the Alexandria database. Values from VASP.

## Properties
As for the space-group type: P4/mmm. Its total magnetization is 0.000 μB per atom. The calculation puts the energy of formation at -1.13 eV/f.u. The density of states at the Fermi level is 2.60 states/eV/f.u. The electronic total energy comes out at -5.386 eV per atom.

Quantum ESPRESSO input file:
```
&SYSTEM
  ibrav = 0, nat = 4, ntyp = 3
/
ATOMIC_SPECIES
Tm 168.93 Tm.upf
Al 26.98 Al.upf
Fe 55.84 Fe.upf
CELL_PARAMETERS angstrom
3.028 0.000 0.000
0.000 3.028 0.000
0.000 0.000 7.203
ATOMIC_POSITIONS crystal
Tm 0.000 0.000 0.000
Al 0.500 0.500 0.316
Al 0.500 0.500 0.684
Fe 0.000 0.000 0.500
```

=====

First-principles (PBE) data for LiAcGdIn after structural relaxation, as listed in the Alexandria database. Values from VASP.

## Properties
As for the space-group type: F-43m. Its total magnetization is 1.927 μB per atom. The calculation puts the energy of formation at -0.88 eV/f.u. The density of states at the Fermi level is 4.37 states/eV/f.u. The electronic total energy comes out at -5.932 eV per atom.

Quantum ESPRESSO input file:
```
&SYSTEM
  ibrav = 0, nat = 4, ntyp = 4
/
ATOMIC_SPECIES
Li 6.94 Li.upf
Ac 227.00 Ac.upf
Gd 157.25 Gd.upf
In 114.82 In.upf
CELL_PARAMETERS angstrom
0.000 3.933 3.933
3.933 0.000 3.933
3.933 3.933 0.000
ATOMIC_POSITIONS crystal
Li 0.000 0.000 0.000
Ac 0.750 0.750 0.750
Gd 0.250 0.250 0.250
In 0.500 0.500 0.500
```

=====

First-principles (PBE) data for HfTlMo2 after structural relaxation, as listed in the Alexandria database. Values from VASP.

## Properties
As for the space-group type: I-42d. As for the relative energy among the computed polymorphs: 487 meV/atom. Its total magnetization is 0.000 μB per atom. The calculation puts the energy of formation at 4.10 eV/f.u. The density of states at the Fermi level is 4.98 states/eV/f.u. The electronic total energy comes out at -7.471 eV per atom.

Quantum ESPRESSO input file:
```
&SYSTEM
  ibrav = 0, nat = 8, ntyp = 3
/
ATOMIC_SPECIES
Hf 178.49 Hf.upf
Tl 204.38 Tl.upf
Mo 95.94 Mo.upf
CELL_PARAMETERS angstrom
-3.782 3.782 2.848
3.782 -3.782 2.848
3.782 3.782 -2.848
ATOMIC_POSITIONS crystal
Hf 0.000 0.000 0.000
Hf 0.750 0.250 0.500
Tl 0.250 0.750 0.500
Tl 0.500 0.500 0.000
Mo 0.119 0.125 0.494
Mo 0.375 0.881 0.006
Mo 0.631 0.625 0.506
Mo 0.875 0.369 0.994
```

=====

First-principles (PBE) data for La3Ga8Cu3 after structural relaxation, as listed in the Alexandria database. Values from VASP.

## Properties
As for the space-group type: Immm. As for the relative energy among the computed polymorphs: 0 meV/atom. Its total magnetization is 0.000 μB per atom. The calculation puts the energy of formation at -6.75 eV/f.u. The density of states at the Fermi level is 3.44 states/eV/f.u. The electronic total energy comes out at -4.145 eV per atom.

Quantum ESPRESSO input file:
```
&SYSTEM
  ibrav = 0, nat = 14, ntyp = 3
/
ATOMIC_SPECIES
La 138.91 La.upf
Ga 69.72 Ga.upf
Cu 63.55 Cu.upf
CELL_PARAMETERS angstrom
-2.220 4.723 6.496
2.220 -4.723 6.496
2.220 4.723 -6.496
ATOMIC_POSITIONS crystal
La 0.000 0.000 0.000
La 0.302 0.302 0.000
La 0.698 0.698 0.000
Ga 0.016 0.655 0.361
Ga 0.156 0.868 0.288
Ga 0.294 0.655 0.639
Ga 0.421 0.132 0.288
Ga 0.579 0.868 0.712
Ga 0.706 0.345 0.361
Ga 0.844 0.132 0.712
Ga 0.984 0.345 0.639
Cu 0.311 0.500 0.811
Cu 0.500 0.000 0.500
Cu 0.689 0.500 0.189
```

=====

First-principles (PBE) data for RbZnCr3 after structural relaxation, as listed in the Alexandria database. Values from VASP.

## Properties
As for the space-group type: Pm-3m. As for the relative energy among the computed polymorphs: 0 meV/atom. Its total magnetization is 2.660 μB per atom. The calculation puts the energy of formation at 6.20 eV/f.u. The density of states at the Fermi level is 3.20 states/eV/f.u. The electronic total energy comes out at -4.983 eV per atom.

Quantum ESPRESSO input file:
```
&SYSTEM
  ibrav = 0, nat = 5, ntyp = 3
/
ATOMIC_SPECIES
Rb 85.47 Rb.upf
Zn 65.41 Zn.upf
Cr 52.00 Cr.upf
CELL_PARAMETERS angstrom
5.103 0.000 0.000
0.000 5.103 0.000
0.000 0.000 5.103
ATOMIC_POSITIONS crystal
Rb 0.000 0.000 0.000
Zn 0.500 0.500 0.500
Cr 0.000 0.500 0.500
Cr 0.500 0.000 0.500
Cr 0.500 0.500 0.000
```

=====

First-principles (PBE) data for Re2MoSe after structural relaxation, as listed in the Alexandria database. Values from VASP.

## Properties
As for the space-group type: P4/mmm. For the raw formation energy, the calculation gives 0.529 eV per atom. Its total magnetization is 0.000 μB per atom. The density of states at the Fermi level is 2.48 states/eV/f.u. The electronic total energy comes out at -9.274 eV per atom.

Quantum ESPRESSO input file:
```
&SYSTEM
  ibrav = 0, nat = 4, ntyp = 3
/
ATOMIC_SPECIES
Re 186.21 Re.upf
Mo 95.94 Mo.upf
Se 78.96 Se.upf
CELL_PARAMETERS angstrom
4.474 0.000 0.000
0.000 4.474 0.000
0.000 0.000 3.084
ATOMIC_POSITIONS crystal
Re 0.000 0.500 0.000
Re 0.500 0.000 0.000
Mo 0.000 0.000 0.500
Se 0.500 0.500 0.500
```

=====

First-principles (PBE) data for Th2SiHPt6 after structural relaxation, as listed in the Alexandria database. Values from VASP.

## Properties
As for the space-group type: C2/m. Its total magnetization is 0.000 μB per atom. The density of states at the Fermi level is 5.46 states/eV/f.u. The electronic total energy comes out at -6.896 eV per atom.

Quantum ESPRESSO input file:
```
&SYSTEM
  ibrav = 0, nat = 10, ntyp = 4
/
ATOMIC_SPECIES
Th 232.04 Th.upf
Si 28.09 Si.upf
H 1.01 H.upf
Pt 195.08 Pt.upf
CELL_PARAMETERS angstrom
4.980 -2.875 0.000
4.980 2.875 0.000
-3.321 0.000 6.064
ATOMIC_POSITIONS crystal
Th 0.221 0.221 0.162
Th 0.779 0.779 0.838
Si 0.500 0.500 0.000
H 0.000 0.000 0.500
Pt 0.232 0.731 0.696
Pt 0.233 0.233 0.700
Pt 0.269 0.768 0.304
Pt 0.731 0.232 0.696
Pt 0.767 0.767 0.300
Pt 0.768 0.269 0.304
```

=====

First-principles (PBE) data for Li3Bi3Pd2 after structural relaxation, as listed in the Alexandria database. Values from VASP.

## Properties
As for the space-group type: Cmcm. Its total magnetization is 0.000 μB per atom. The calculation puts the energy of formation at -2.82 eV/f.u. The density of states at the Fermi level is 2.98 states/eV/f.u. The electronic total energy comes out at -3.824 eV per atom.

Quantum ESPRESSO input file:
```
&SYSTEM
  ibrav = 0, nat = 16, ntyp = 3
/
ATOMIC_SPECIES
Li 6.94 Li.upf
Bi 208.98 Bi.upf
Pd 106.42 Pd.upf
CELL_PARAMETERS angstrom
2.270 -5.270 0.000
2.270 5.270 0.000
0.000 0.000 14.420
ATOMIC_POSITIONS crystal
Li 0.061 0.939 0.611
Li 0.061 0.939 0.889
Li 0.274 0.726 0.750
Li 0.726 0.274 0.250
Li 0.939 0.061 0.111
Li 0.939 0.061 0.389
Bi 0.359 0.641 0.543
Bi 0.359 0.641 0.957
Bi 0.444 0.556 0.250
Bi 0.556 0.444 0.750
Bi 0.641 0.359 0.043
Bi 0.641 0.359 0.457
Pd 0.235 0.765 0.136
Pd 0.235 0.765 0.364
Pd 0.765 0.235 0.636
Pd 0.765 0.235 0.864
```

=====

First-principles (PBE) data for La2P3Pd6 after structural relaxation, as listed in the Alexandria database. Values from VASP.

## Properties
As for the space-group type: P-62m. Its total magnetization is 0.000 μB per atom. The calculation puts the energy of formation at -10.18 eV/f.u. The density of states at the Fermi level is 5.53 states/eV/f.u. The electronic total energy comes out at -6.129 eV per atom.

Quantum ESPRESSO input file:
```
&SYSTEM
  ibrav = 0, nat = 11, ntyp = 3
/
ATOMIC_SPECIES
La 138.91 La.upf
P 30.97 P.upf
Pd 106.42 Pd.upf
CELL_PARAMETERS angstrom
7.408 0.000 0.000
-3.704 6.415 0.000
0.000 0.000 4.250
ATOMIC_POSITIONS crystal
La 0.333 0.667 0.000
La 0.667 0.333 0.000
P 0.000 0.639 0.500
P 0.361 0.361 0.500
P 0.639 0.000 0.500
Pd 0.000 0.310 0.500
Pd 0.000 0.788 0.000
Pd 0.212 0.212 0.000
Pd 0.310 0.000 0.500
Pd 0.690 0.690 0.500
Pd 0.788 0.000 0.000
```

=====

First-principles (PBE) data for KZrNi after structural relaxation, as listed in the Alexandria database. Values from VASP.

## Properties
As for the space-group type: F-43m. As for the relative energy among the computed polymorphs: 1495 meV/atom. Its total magnetization is 0.000 μB per atom. The calculation puts the energy of formation at 5.42 eV/f.u. The density of states at the Fermi level is 2.91 states/eV/f.u. The electronic total energy comes out at -3.335 eV per atom.

Quantum ESPRESSO input file:
```
&SYSTEM
  ibrav = 0, nat = 3, ntyp = 3
/
ATOMIC_SPECIES
K 39.10 K.upf
Zr 91.22 Zr.upf
Ni 58.69 Ni.upf
CELL_PARAMETERS angstrom
0.000 3.239 3.239
3.239 0.000 3.239
3.239 3.239 0.000
ATOMIC_POSITIONS crystal
K 0.000 0.000 0.000
Zr 0.750 0.750 0.750
Ni 0.250 0.250 0.250
```